First-principles (PBE-GGA) data for an optimized crystal structure of KBe3, as listed in Alexandria.

Cell lengths 5.766, 5.766, 5.766 Å; angles 154.79, 123.14, 63.17 degrees
Fractional coordinates of all 4 atoms:
K  0.000  0.000  0.000
Be  0.321  0.821  0.500
Be  0.500  0.500  0.000
Be  0.679  0.179  0.500

Results
* E_tot: -8.54 eV per cell